(1)
A plane-wave DFT calculation with PBE was carried out for HfCrW after structural relaxation.

abc: 5.332 5.332 5.656
angles: 121.48 121.48 48.01
Sites, in units of the cell vectors:
Hf 0.000 0.000 0.000
Hf 0.656 0.656 0.829
Cr 0.315 0.315 0.645
Cr 0.990 0.990 0.484
W 0.354 0.354 0.202
W 0.684 0.684 0.363

## Properties
Total magnetic moment: 0.00 Bohr magnetons per cell
DOS at the Fermi energy: 5.14 states/eV per cell
Distance to the lowest polymorph of the same formula: 258.1 meV per atom
Energy of formation: 0.124 eV per atom

---

(2)
A plane-wave DFT calculation with PBE was carried out for Na3CdF6 after structural relaxation.

abc: 5.777 5.997 10.001
angles: 90.00 123.55 90.00
Sites, in units of the cell vectors:
Na 0.000 0.000 0.000
Na 0.000 0.500 0.500
Na 0.214 0.056 0.729
Na 0.214 0.444 0.229
Na 0.786 0.556 0.771
Na 0.786 0.944 0.271
Cd 0.500 0.000 0.500
Cd 0.500 0.500 0.000
F 0.137 0.180 0.452
F 0.137 0.320 0.952
F 0.223 0.708 0.406
F 0.223 0.792 0.906
F 0.399 0.086 0.261
F 0.399 0.414 0.761
F 0.601 0.586 0.239
F 0.601 0.914 0.739
F 0.777 0.208 0.094
F 0.777 0.292 0.594
F 0.863 0.680 0.048
F 0.863 0.820 0.548

## Properties
Total magnetic moment: 2.06 Bohr magnetons per cell
DOS at the Fermi energy: 12.64 states/eV per cell
Distance to the lowest polymorph of the same formula: 14.3 meV per atom
Formation energy without anion corrections: -22.9 eV per formula unit

---

(3)
A plane-wave DFT calculation with PBE was carried out for Ce4AsSe2Cl after structural relaxation.

abc: 7.224 7.224 7.224
angles: 131.85 131.85 70.47
Sites, in units of the cell vectors:
Ce 0.000 0.500 0.500
Ce 0.248 0.248 0.000
Ce 0.500 0.000 0.500
Ce 0.752 0.752 0.000
As 0.000 0.000 0.000
Se 0.250 0.750 0.500
Se 0.750 0.250 0.500
Cl 0.500 0.500 0.000

## Properties
Total magnetic moment: 2.93 Bohr magnetons per cell
DOS at the Fermi energy: 23.78 states/eV per cell
Formation energy without anion corrections: -13.1 eV per formula unit